No. 1
This record from Alexandria via LeMat-Bulk describes a geometry-optimized NbSeO structure. The functional is PBE.

Values from the calculation:
SG	No. 69
VASP energy	-45.91	eV/cell
N(E_F)	0.1	states/eV/f.u.
total magnetic moment	0.0	Bohr magnetons per cell
formation energy from raw total energies	-429	kJ/mol of formula units

abc: 5.3600 5.5031 5.3600
angles: 60.67 90.33 119.33
Atoms (fractional coordinates):
Nb (0.4265, 0.0000, 0.5735)
Nb (0.8052, 0.0000, 0.1948)
Se (0.3539, 0.4760, 0.6461)
Se (0.8779, 0.5240, 0.1221)
O (0.1159, 0.0000, 0.3841)
O (0.6159, 0.0000, 0.8841)

***

No. 2
This record from Alexandria via LeMat-Bulk describes a geometry-optimized NbSe3O9 structure. The functional is PBE.

Values from the calculation:
SG	No. 9
VASP energy	-157.85	eV/cell
N(E_F)	2.4	states/eV/f.u.
total magnetic moment	2.2	Bohr magnetons per cell
formation energy from raw total energies	-1329	kJ/mol of formula units

abc: 7.2706 9.3441 8.7759
angles: 61.85 65.53 67.10
Atoms (fractional coordinates):
Nb (0.0262, 0.4898, 0.9997)
Nb (0.4843, 0.9898, 0.4997)
Se (0.7695, 0.5930, 0.6782)
Se (0.9594, 0.0930, 0.1782)
Se (0.0039, 0.9060, 0.8435)
Se (0.2467, 0.4060, 0.3435)
Se (0.5838, 0.1967, 0.7451)
Se (0.4743, 0.6967, 0.2451)
O (0.3780, 0.2165, 0.3152)
O (0.0903, 0.7165, 0.8152)
O (0.2548, 0.3777, 0.8879)
O (0.4797, 0.8777, 0.3879)
O (0.2072, 0.9989, 0.6879)
O (0.1060, 0.4989, 0.1879)
O (0.7228, 0.6804, 0.1137)
O (0.4831, 0.1804, 0.6137)
O (0.7868, 0.0083, 0.3795)
O (0.8254, 0.5083, 0.8795)
O (0.6008, 0.7816, 0.6975)
O (0.9201, 0.2816, 0.1975)
O (0.4476, 0.5097, 0.2108)
O (0.8319, 0.0097, 0.7108)
O (0.6885, 0.3640, 0.6083)
O (0.3392, 0.8640, 0.1083)
O (0.8720, 0.1351, 0.0106)
O (0.9824, 0.6351, 0.5106)

***

No. 3
This record from Alexandria via LeMat-Bulk describes a geometry-optimized Nb4Se3O structure. The functional is PBE.

Values from the calculation:
SG	No. 31
VASP energy	-123.57	eV/cell
N(E_F)	6.1	states/eV/f.u.
total magnetic moment	0.0	Bohr magnetons per cell
formation energy from raw total energies	-588	kJ/mol of formula units

abc: 6.5875 6.9751 6.5477
angles: 90.00 90.00 90.00
Atoms (fractional coordinates):
Nb (0.0231, 0.8815, 0.0000)
Nb (0.6434, 0.1280, 0.0000)
Nb (0.1933, 0.2357, 0.2268)
Nb (0.6933, 0.7643, 0.2732)
Nb (0.1434, 0.8720, 0.5000)
Nb (0.5231, 0.1185, 0.5000)
Nb (0.6933, 0.7643, 0.7268)
Nb (0.1933, 0.2357, 0.7732)
Se (0.4202, 0.8292, 0.0000)
Se (0.0415, 0.5940, 0.2549)
Se (0.5415, 0.4060, 0.2451)
Se (0.9202, 0.1708, 0.5000)
Se (0.5415, 0.4060, 0.7549)
Se (0.0415, 0.5940, 0.7451)
O (0.9591, 0.1769, 0.0000)
O (0.4591, 0.8231, 0.5000)

***

No. 4
This record from Alexandria via LeMat-Bulk describes a geometry-optimized NbSe3O structure. The functional is PBE.

Values from the calculation:
E above lowest polymorph	70.0	meV/atom
SG	No. 221
VASP energy	-23.07	eV/cell
N(E_F)	11.1	states/eV/f.u.
total magnetic moment	0.0	Bohr magnetons per cell
formation energy from raw total energies	233	kJ/mol of formula units

abc: 4.9811 4.9811 4.9811
angles: 90.00 90.00 90.00
Atoms (fractional coordinates):
Nb (0.0000, 0.0000, 0.0000)
O (0.5000, 0.5000, 0.5000)
Se (0.0000, 0.5000, 0.0000)
Se (0.0000, 0.0000, 0.5000)
Se (0.5000, 0.0000, 0.0000)